The following is a DFT calculation (GGA-PBE) of a relaxed Nd crystal.

Computed properties:
- crystal system = trigonal
- energy of formation from the pure elements (meV/atom) = 585
- energy relative to the lowest polymorph listed for this composition (eV per atom) = 0.585
- total moment (Bohr magnetons per cell) = 1.49

Cell: 4.3987 4.3987 6.2868 Å, 90.00 90.00 120.00°
With the nearest neighbours (Å) after each atom.
Atoms (fractional coordinates):
Nd 0.0000 0.3300 0.1667  6 Nd 3.27-3.30
Nd 0.3300 0.0000 0.8333  6 Nd 3.27-3.30
Nd 0.6700 0.6700 0.5000  6 Nd 3.27-3.30